# Cd4ReSe (GGA-PBE, relaxed)
# Formation energy from raw total energies: 464 kJ/mol of formula units
# Total magnetic moment: 0.0000 μB per atom
# Uncorrected energy: -2.465 eV per atom
data_Cd4ReSe
_cell_length_a 5.568
_cell_length_b 5.568
_cell_length_c 5.568
_cell_angle_alpha 60.00
_cell_angle_beta 60.00
_cell_angle_gamma 60.00
_space_group_name_H-M_alt 'P 1'
_space_group_IT_number 1
_space_group_name_Hall 'P 1'
loop_
_atom_site_label
_atom_site_fract_x
_atom_site_fract_y
_atom_site_fract_z
_atom_site_occupancy
Cd1 0.376 0.872 0.376 1
Cd2 0.376 0.376 0.872 1
Cd3 0.376 0.376 0.376 1
Cd4 0.872 0.376 0.376 1
Se1 0.000 0.000 0.000 1
Re1 0.750 0.750 0.750 1



# CdReSe3 (GGA-PBE, relaxed)
# Formation energy from raw total energies: 185 kJ/mol of formula units
# Total magnetic moment: 0.0000 μB per atom
# Uncorrected energy: -4.379 eV per atom
data_CdReSe3
_cell_length_a 4.945
_cell_length_b 4.945
_cell_length_c 4.945
_cell_angle_alpha 90.00
_cell_angle_beta 90.00
_cell_angle_gamma 90.00
_space_group_name_H-M_alt 'P 1'
_space_group_IT_number 1
_space_group_name_Hall 'P 1'
loop_
_atom_site_label
_atom_site_fract_x
_atom_site_fract_y
_atom_site_fract_z
_atom_site_occupancy
Se1 0.500 0.000 0.000 1
Se2 0.000 0.000 0.500 1
Se3 0.000 0.500 0.000 1
Re1 0.000 0.000 0.000 1
Cd1 0.500 0.500 0.500 1



# CdRe2Se (GGA-PBE, relaxed)
# Formation energy from raw total energies: 312 kJ/mol of formula units
# Total magnetic moment: 0.0001 μB per atom
# Uncorrected energy: -6.516 eV per atom
data_CdRe2Se
_cell_length_a 3.066
_cell_length_b 3.066
_cell_length_c 6.975
_cell_angle_alpha 90.00
_cell_angle_beta 90.00
_cell_angle_gamma 90.00
_space_group_name_H-M_alt 'P 1'
_space_group_IT_number 1
_space_group_name_Hall 'P 1'
loop_
_atom_site_label
_atom_site_fract_x
_atom_site_fract_y
_atom_site_fract_z
_atom_site_occupancy
Cd1 0.500 0.500 0.750 1
Re1 0.000 0.000 0.044 1
Re2 0.000 0.000 0.456 1
Se1 0.500 0.500 0.250 1



# CdRe2Se (GGA-PBE, relaxed)
# Formation energy from raw total energies: 427 kJ/mol of formula units
# Total magnetic moment: 0.0000 μB per atom
# Uncorrected energy: -6.217 eV per atom
data_CdRe2Se
_cell_length_a 5.038
_cell_length_b 5.038
_cell_length_c 2.974
_cell_angle_alpha 90.00
_cell_angle_beta 90.00
_cell_angle_gamma 115.03
_space_group_name_H-M_alt 'P 1'
_space_group_IT_number 1
_space_group_name_Hall 'P 1'
loop_
_atom_site_label
_atom_site_fract_x
_atom_site_fract_y
_atom_site_fract_z
_atom_site_occupancy
Re1 0.000 0.000 0.000 1
Re2 0.500 0.500 0.000 1
Cd1 0.000 0.500 0.500 1
Se1 0.500 0.000 0.500 1



# CdReSe (GGA-PBE, relaxed)
# Formation energy from raw total energies: 54 kJ/mol of formula units
# Total magnetic moment: 0.0000 μB per atom
# Uncorrected energy: -5.428 eV per atom
data_CdReSe
_cell_length_a 3.098
_cell_length_b 3.098
_cell_length_c 8.126
_cell_angle_alpha 90.00
_cell_angle_beta 90.00
_cell_angle_gamma 120.00
_space_group_name_H-M_alt 'P 1'
_space_group_IT_number 1
_space_group_name_Hall 'P 1'
loop_
_atom_site_label
_atom_site_fract_x
_atom_site_fract_y
_atom_site_fract_z
_atom_site_occupancy
Re1 0.667 0.333 0.362 1
Cd1 0.000 0.000 0.072 1
Se1 0.333 0.667 0.566 1



# CdRe2Se (GGA-PBE, relaxed)
# Formation energy from raw total energies: 427 kJ/mol of formula units
# Total magnetic moment: 0.0000 μB per atom
# Uncorrected energy: -6.219 eV per atom
data_CdRe2Se
_cell_length_a 5.348
_cell_length_b 5.348
_cell_length_c 5.348
_cell_angle_alpha 137.41
_cell_angle_beta 137.41
_cell_angle_gamma 61.81
_space_group_name_H-M_alt 'P 1'
_space_group_IT_number 1
_space_group_name_Hall 'P 1'
loop_
_atom_site_label
_atom_site_fract_x
_atom_site_fract_y
_atom_site_fract_z
_atom_site_occupancy
Re1 0.000 0.000 0.000 1
Re2 0.500 0.500 0.000 1
Se1 0.250 0.750 0.500 1
Cd1 0.750 0.250 0.500 1



# CdReSe (GGA-PBE, relaxed)
# Formation energy from raw total energies: 212 kJ/mol of formula units
# Total magnetic moment: 0.0000 μB per atom
# Uncorrected energy: -4.884 eV per atom
data_CdReSe
_cell_length_a 4.698
_cell_length_b 4.698
_cell_length_c 2.808
_cell_angle_alpha 90.00
_cell_angle_beta 90.00
_cell_angle_gamma 120.00
_space_group_name_H-M_alt 'P 1'
_space_group_IT_number 1
_space_group_name_Hall 'P 1'
loop_
_atom_site_label
_atom_site_fract_x
_atom_site_fract_y
_atom_site_fract_z
_atom_site_occupancy
Cd1 0.000 0.000 0.000 1
Re1 0.667 0.333 0.500 1
Se1 0.333 0.667 0.500 1



# CdRe2Se (GGA-PBE, relaxed)
# Formation energy from raw total energies: 346 kJ/mol of formula units
# Total magnetic moment: 0.0001 μB per atom
# Uncorrected energy: -6.427 eV per atom
data_CdRe2Se
_cell_length_a 4.571
_cell_length_b 4.571
_cell_length_c 4.571
_cell_angle_alpha 60.00
_cell_angle_beta 60.00
_cell_angle_gamma 60.00
_space_group_name_H-M_alt 'P 1'
_space_group_IT_number 1
_space_group_name_Hall 'P 1'
loop_
_atom_site_label
_atom_site_fract_x
_atom_site_fract_y
_atom_site_fract_z
_atom_site_occupancy
Re1 0.250 0.250 0.250 1
Re2 0.000 0.000 0.000 1
Se1 0.750 0.750 0.750 1
Cd1 0.500 0.500 0.500 1



# CdRe2Se (GGA-PBE, relaxed)
# Formation energy from raw total energies: 362 kJ/mol of formula units
# Total magnetic moment: 0.0004 μB per atom
# Uncorrected energy: -6.386 eV per atom
data_CdRe2Se
_cell_length_a 2.953
_cell_length_b 4.749
_cell_length_c 4.898
_cell_angle_alpha 90.00
_cell_angle_beta 90.00
_cell_angle_gamma 90.00
_space_group_name_H-M_alt 'P 1'
_space_group_IT_number 1
_space_group_name_Hall 'P 1'
loop_
_atom_site_label
_atom_site_fract_x
_atom_site_fract_y
_atom_site_fract_z
_atom_site_occupancy
Re1 0.000 0.000 0.000 1
Re2 0.500 0.500 0.000 1
Cd1 0.000 0.500 0.500 1
Se1 0.500 0.000 0.500 1



# CdRe2Se (GGA-PBE, relaxed)
# Formation energy from raw total energies: 335 kJ/mol of formula units
# Total magnetic moment: 0.0000 μB per atom
# Uncorrected energy: -6.456 eV per atom
data_CdRe2Se
_cell_length_a 4.753
_cell_length_b 2.740
_cell_length_c 5.326
_cell_angle_alpha 89.86
_cell_angle_beta 90.00
_cell_angle_gamma 90.00
_space_group_name_H-M_alt 'P 1'
_space_group_IT_number 1
_space_group_name_Hall 'P 1'
loop_
_atom_site_label
_atom_site_fract_x
_atom_site_fract_y
_atom_site_fract_z
_atom_site_occupancy
Se1 0.500 0.250 0.250 1
Re1 0.000 0.150 0.986 1
Re2 0.000 0.350 0.514 1
Cd1 0.500 0.750 0.750 1



# CdRe2Se (GGA-PBE, relaxed)
# Formation energy from raw total energies: 101 kJ/mol of formula units
# Total magnetic moment: 0.0000 μB per atom
# Uncorrected energy: -7.062 eV per atom
data_CdRe2Se
_cell_length_a 2.968
_cell_length_b 2.968
_cell_length_c 8.259
_cell_angle_alpha 90.00
_cell_angle_beta 90.00
_cell_angle_gamma 90.00
_space_group_name_H-M_alt 'P 1'
_space_group_IT_number 1
_space_group_name_Hall 'P 1'
loop_
_atom_site_label
_atom_site_fract_x
_atom_site_fract_y
_atom_site_fract_z
_atom_site_occupancy
Cd1 0.500 0.500 0.788 1
Re1 0.500 0.500 0.238 1
Re2 0.000 0.000 0.037 1
Se1 0.000 0.000 0.437 1



# CdRe2Se (GGA-PBE, relaxed)
# Formation energy from raw total energies: 222 kJ/mol of formula units
# Total magnetic moment: 0.0000 μB per atom
# Uncorrected energy: -6.749 eV per atom
data_CdRe2Se
_cell_length_a 4.512
_cell_length_b 2.960
_cell_length_c 5.366
_cell_angle_alpha 89.89
_cell_angle_beta 90.00
_cell_angle_gamma 90.00
_space_group_name_H-M_alt 'P 1'
_space_group_IT_number 1
_space_group_name_Hall 'P 1'
loop_
_atom_site_label
_atom_site_fract_x
_atom_site_fract_y
_atom_site_fract_z
_atom_site_occupancy
Re1 0.000 0.876 0.089 1
Re2 0.500 0.375 0.214 1
Cd1 0.500 0.874 0.737 1
Se1 0.000 0.375 0.460 1



# Cd2ReSe (GGA-PBE, relaxed)
# Formation energy from raw total energies: 326 kJ/mol of formula units
# Total magnetic moment: 0.0002 μB per atom
# Uncorrected energy: -3.596 eV per atom
data_Cd2ReSe
_cell_length_a 4.740
_cell_length_b 4.740
_cell_length_c 4.740
_cell_angle_alpha 60.00
_cell_angle_beta 60.00
_cell_angle_gamma 60.00
_space_group_name_H-M_alt 'P 1'
_space_group_IT_number 1
_space_group_name_Hall 'P 1'
loop_
_atom_site_label
_atom_site_fract_x
_atom_site_fract_y
_atom_site_fract_z
_atom_site_occupancy
Re1 0.500 0.500 0.500 1
Cd1 0.250 0.250 0.250 1
Cd2 0.000 0.000 0.000 1
Se1 0.750 0.750 0.750 1



# Cd2ReSe (GGA-PBE, relaxed)
# Formation energy from raw total energies: 166 kJ/mol of formula units
# Total magnetic moment: 0.0000 μB per atom
# Uncorrected energy: -4.011 eV per atom
data_Cd2ReSe
_cell_length_a 4.100
_cell_length_b 3.585
_cell_length_c 5.712
_cell_angle_alpha 71.76
_cell_angle_beta 90.00
_cell_angle_gamma 90.00
_space_group_name_H-M_alt 'P 1'
_space_group_IT_number 1
_space_group_name_Hall 'P 1'
loop_
_atom_site_label
_atom_site_fract_x
_atom_site_fract_y
_atom_site_fract_z
_atom_site_occupancy
Se1 0.500 0.566 0.743 1
Re1 0.000 0.689 0.496 1
Cd1 0.500 0.291 0.293 1
Cd2 0.000 0.954 0.968 1



# CdReSe (GGA-PBE, relaxed)
# Formation energy from raw total energies: 157 kJ/mol of formula units
# Total magnetic moment: 0.0000 μB per atom
# Uncorrected energy: -5.072 eV per atom
data_CdReSe
_cell_length_a 8.692
_cell_length_b 8.453
_cell_length_c 2.926
_cell_angle_alpha 84.82
_cell_angle_beta 75.60
_cell_angle_gamma 19.59
_space_group_name_H-M_alt 'P 1'
_space_group_IT_number 1
_space_group_name_Hall 'P 1'
loop_
_atom_site_label
_atom_site_fract_x
_atom_site_fract_y
_atom_site_fract_z
_atom_site_occupancy
Se1 0.703 0.703 0.297 1
Re1 0.322 0.322 0.678 1
Cd1 0.975 0.975 0.025 1